1.
Entry from Alexandria: a relaxed BaSr3Ca7 crystal (PBE-GGA).

a b c (Å): 3.9716 30.0301 18.7623
angles (deg): 90.00 90.00 90.00
Space group Cmcm (No. 63)
Inequivalent atoms, fractional coordinates:
Ba 0.0000 0.0898 0.2500 [4 per cell]
Sr 0.0000 0.0889 0.5754 [8 per cell]
Sr 0.0000 0.2317 0.2500 [4 per cell]
Ca 0.0000 0.2175 0.5716 [8 per cell]
Ca 0.0000 0.3411 0.5858 [8 per cell]
Ca 0.0000 0.4595 0.2500 [4 per cell]
Ca 0.0000 0.4704 0.5861 [8 per cell]

***

2.
Entry from Alexandria: a relaxed Ba15Sr4Ca crystal (PBE-GGA).

a b c (Å): 6.9698 6.9698 24.7428
angles (deg): 90.00 90.00 90.00
Space group P4/mmm (No. 123)
Inequivalent atoms, fractional coordinates:
Ba 0.0000 0.0000 0.0000 [1 per cell]
Ba 0.0000 0.0000 0.1973 [2 per cell]
Ba 0.0000 0.0000 0.3989 [2 per cell]
Ba 0.0000 0.5000 0.0961 [4 per cell]
Ba 0.0000 0.5000 0.2979 [4 per cell]
Ba 0.0000 0.5000 0.5000 [2 per cell]
Sr 0.5000 0.5000 0.1972 [2 per cell]
Sr 0.5000 0.5000 0.3987 [2 per cell]
Ca 0.5000 0.5000 0.0000 [1 per cell]

***

3.
Entry from Alexandria: a relaxed Ba4Sr9Ca2 crystal (PBE-GGA).

a b c (Å): 10.3744 11.7532 14.2837
angles (deg): 105.15 94.33 101.11
Space group P-1 (No. 2)
Inequivalent atoms, fractional coordinates:
Ba 0.1693 0.4820 0.1176 [2 per cell]
Ba 0.1701 0.3836 0.8147 [2 per cell]
Ba 0.1704 0.8882 0.3197 [2 per cell]
Ba 0.1748 0.2808 0.5115 [2 per cell]
Sr 0.1658 0.6906 0.7203 [2 per cell]
Sr 0.1700 0.0795 0.9132 [2 per cell]
Sr 0.1700 0.7914 0.0196 [2 per cell]
Sr 0.1703 0.9818 0.6178 [2 per cell]
Sr 0.1723 0.5887 0.4213 [2 per cell]
Sr 0.1731 0.1768 0.2098 [2 per cell]
Sr 0.4988 0.2424 0.7411 [2 per cell]
Sr 0.4993 0.4398 0.3481 [2 per cell]
Sr 0.4989 0.6591 0.9547 [2 per cell]
Ca 0.4934 0.8596 0.5562 [2 per cell]
Ca 0.4981 0.9523 0.8509 [2 per cell]

***

4.
Entry from Alexandria: a relaxed Ba2Sr4Ca5 crystal (PBE-GGA).

a b c (Å): 13.1296 8.0086 10.8277
angles (deg): 90.00 93.47 90.00
Space group C2/m (No. 12)
Inequivalent atoms, fractional coordinates:
Ba 0.1289 0.0000 0.1440 [4 per cell]
Sr 0.1363 0.5000 0.0865 [4 per cell]
Sr 0.1663 0.5000 0.4534 [4 per cell]
Ca 0.0000 0.0000 0.5000 [2 per cell]
Ca 0.1130 0.2516 0.7721 [8 per cell]

***

5.
Entry from Alexandria: a relaxed Ba12SrCa3 crystal (PBE-GGA).

a b c (Å): 6.8722 6.8722 19.6373
angles (deg): 90.00 90.00 90.00
Space group P4/mmm (No. 123)
Inequivalent atoms, fractional coordinates:
Ba 0.0000 0.0000 0.0000 [1 per cell]
Ba 0.0000 0.0000 0.2475 [2 per cell]
Ba 0.0000 0.0000 0.5000 [1 per cell]
Ba 0.0000 0.5000 0.1237 [4 per cell]
Ba 0.0000 0.5000 0.3701 [4 per cell]
Sr 0.5000 0.5000 0.5000 [1 per cell]
Ca 0.5000 0.5000 0.0000 [1 per cell]
Ca 0.5000 0.5000 0.2477 [2 per cell]

***

6.
Entry from Alexandria: a relaxed Ba3SrCa7 crystal (PBE-GGA).

a b c (Å): 13.3412 13.3214 7.1067
angles (deg): 90.00 113.03 90.00
Space group C2/m (No. 12)
Inequivalent atoms, fractional coordinates:
Ba 0.0000 0.0000 0.0000 [2 per cell]
Ba 0.0000 0.2174 0.5000 [4 per cell]
Sr 0.0000 0.5000 0.0000 [2 per cell]
Ca 0.0000 0.5000 0.5000 [2 per cell]
Ca 0.1766 0.2434 0.1810 [8 per cell]
Ca 0.2244 0.0000 0.5615 [4 per cell]

***

| no. | calculated formation energy (eV per atom) |
| --- | --- |
| 1 | 0.12 |
| 2 | 0.01 |
| 3 | 0.01 |
| 4 | 0.08 |
| 5 | 0.02 |
| 6 | 0.23 |